Entry 1:
Compound: ScNiPt2S
Source: Alexandria via LeMat-Bulk
Functional: PBE
Structure: relaxed

```
ScNiPt2S
1.0
4.828 0.000 0.000
0.000 4.750 0.000
0.000 0.000 4.828
Ni Sc Pt S
1 1 2 1
Direct
0.500 0.500 0.500
0.000 0.000 0.000
0.000 0.000 0.500
0.500 0.000 0.000
0.000 0.500 0.000
```

Calculated values
- Formation energy from raw total energies: 0.7335 eV/atom


Entry 2:
Compound: SiNiPtS2
Source: Alexandria via LeMat-Bulk
Functional: PBE
Structure: relaxed

```
SiNiPtS2
1.0
4.250 0.000 0.000
0.000 4.942 0.000
0.000 0.000 4.250
S Pt Si Ni
2 1 1 1
Direct
0.500 0.000 0.000
0.000 0.000 0.500
0.000 0.500 0.000
0.500 0.500 0.500
0.000 0.000 0.000
```

Calculated values
- Formation energy from raw total energies: 0.6257 eV/atom


Entry 3:
Compound: Sr2NiPtS
Source: Alexandria via LeMat-Bulk
Functional: PBE
Structure: relaxed

```
Sr2NiPtS
1.0
-5.042 -1.074 -2.526
0.882 -5.637 0.636
-2.054 0.135 4.044
S Sr Pt Ni
1 2 1 1
Direct
0.500 0.500 0.500
0.000 0.500 0.000
0.500 0.000 0.000
0.000 0.000 0.000
0.000 0.000 0.500
```

Calculated values
- Formation energy from raw total energies: -0.4420 eV/atom


Entry 4:
Compound: Tc2NiPtS
Source: Alexandria via LeMat-Bulk
Functional: PBE
Structure: relaxed

```
Tc2NiPtS
1.0
4.486 0.000 0.000
0.000 4.598 0.000
0.000 0.000 4.486
Tc Ni S Pt
2 1 1 1
Direct
0.500 0.000 0.000
0.000 0.000 0.500
0.000 0.000 0.000
0.500 0.500 0.500
0.000 0.500 0.000
```

Calculated values
- Formation energy from raw total energies: 1.5309 eV/atom


Entry 5:
Compound: TiNiPt2S
Source: Alexandria via LeMat-Bulk
Functional: PBE
Structure: relaxed

```
TiNiPt2S
1.0
4.717 0.000 0.000
0.000 3.960 0.000
0.000 0.000 4.717
Ti Pt Ni S
1 2 1 1
Direct
0.500 0.500 0.500
0.500 0.000 0.000
0.000 0.000 0.500
0.000 0.000 0.000
0.000 0.500 0.000
```

Calculated values
- Formation energy from raw total energies: 0.3971 eV/atom


Entry 6:
Compound: ZrNi2PtS
Source: Alexandria via LeMat-Bulk
Functional: PBE
Structure: relaxed

```
ZrNi2PtS
1.0
4.118 0.000 0.000
0.000 4.827 0.000
0.000 0.000 4.118
S Ni Zr Pt
1 2 1 1
Direct
0.000 0.000 0.000
0.500 0.000 0.000
0.000 0.000 0.500
0.000 0.500 0.000
0.500 0.500 0.500
```

Calculated values
- Formation energy from raw total energies: -0.3100 eV/atom


Q: Among the records above, which one has the lowest formation energy from raw total energies?
A: Sr2NiPtS


Q: Among the records above, which one has the highest formation energy from raw total energies?
A: Tc2NiPtS


Repeat the second record exactly.
Compound: SiNiPtS2
Source: Alexandria via LeMat-Bulk
Functional: PBE
Structure: relaxed

```
SiNiPtS2
1.0
4.250 0.000 0.000
0.000 4.942 0.000
0.000 0.000 4.250
S Pt Si Ni
2 1 1 1
Direct
0.500 0.000 0.000
0.000 0.000 0.500
0.000 0.500 0.000
0.500 0.500 0.500
0.000 0.000 0.000
```

Calculated values
- Formation energy from raw total energies: 0.6257 eV/atom


Repeat the sixth record exactly.
Compound: ZrNi2PtS
Source: Alexandria via LeMat-Bulk
Functional: PBE
Structure: relaxed

```
ZrNi2PtS
1.0
4.118 0.000 0.000
0.000 4.827 0.000
0.000 0.000 4.118
S Ni Zr Pt
1 2 1 1
Direct
0.000 0.000 0.000
0.500 0.000 0.000
0.000 0.000 0.500
0.000 0.500 0.000
0.500 0.500 0.500
```

Calculated values
- Formation energy from raw total energies: -0.3100 eV/atom